1 | Compound: Pr3Nd4Tm2
Source: Alexandria
Functional: PBE-GGA
Structure: optimized geometry

a b c (Å): 6.385 6.385 9.298
angles (deg): 99.65 99.65 56.25
Fractional coordinates of all 9 atoms:
1 Pr 0.000 0.000 0.000
2 Pr 0.110 0.110 0.674
3 Pr 0.890 0.890 0.326
4 Nd 0.221 0.221 0.353
5 Nd 0.335 0.335 0.020
6 Nd 0.665 0.665 0.980
7 Nd 0.779 0.779 0.647
8 Tm 0.443 0.443 0.670
9 Tm 0.557 0.557 0.330

## Properties
Magnetization = 0.000 μB/f.u.

2 | Compound: Pr3Nd4Tm2
Source: Alexandria
Functional: PBE-GGA
Structure: optimized geometry

a b c (Å): 3.642 3.642 27.265
angles (deg): 90.00 90.00 120.00
Fractional coordinates of all 9 atoms:
1 Pr 0.000 0.000 0.000
2 Pr 0.000 0.000 0.336
3 Pr 0.667 0.333 0.674
4 Nd 0.000 0.000 0.561
5 Nd 0.000 0.000 0.787
6 Nd 0.667 0.333 0.228
7 Nd 0.667 0.333 0.451
8 Tm 0.667 0.333 0.104
9 Tm 0.667 0.333 0.891

## Properties
Magnetization = 0.000 μB/f.u.

Which of them is the most stable? Correct choice: 2.